1.
Sc2SbAs | PBE-GGA | relaxed

* ΔE_f (raw): -78.4 kJ per mole of atoms

Lattice parameters (Å, degrees): 6.883 7.528 3.549 90.00 105.89 90.00
Space group C2/m (No. 12)
Unique sites:
1 Sc 0.250 0.250 0.000
2 Sb 0.000 0.000 0.500
3 As 0.000 0.500 0.500

2.
K5Zn4P4 | PBE-GGA | relaxed

* formation enthalpy at 0 K: -0.314 eV per atom

Lattice parameters (Å, degrees): 12.708 12.708 4.139 90.00 90.00 90.00
Space group I4/m (No. 87)
Unique sites:
1 K 0.000 0.000 0.000
2 K 0.136 0.203 0.500
3 Zn 0.081 0.607 0.500
4 P 0.043 0.700 0.000

3.
Zr3ZnCu2 | PBE-GGA | relaxed

* energy above the lowest structure with this stoichiometry: 0 meV per atom
* formation enthalpy at 0 K: -0.158 eV per atom

Lattice parameters (Å, degrees): 3.281 3.281 10.007 90.00 90.00 90.00
Space group P4/mmm (No. 123)
Unique sites:
1 Zr 0.000 0.000 0.000
2 Zr 0.000 0.000 0.329
3 Zn 0.500 0.500 0.500
4 Cu 0.500 0.500 0.166

4.
Co2Re2I | PBE-GGA | relaxed

* ΔE_f (raw): 80.8 kJ per mole of atoms
* energy above the lowest structure with this stoichiometry: 0 meV per atom

Lattice parameters (Å, degrees): 7.569 7.569 2.717 90.00 90.00 90.00
Space group P4/mbm (No. 127)
Unique sites:
1 Co 0.161 0.339 0.000
2 Re 0.122 0.622 0.500
3 I 0.000 0.000 0.500

5.
TbCe2Th3S6 | PBE-GGA | relaxed

* ΔE_f (raw): -187.3 kJ per mole of atoms

Lattice parameters (Å, degrees): 6.929 12.005 6.985 90.00 109.31 90.00
Space group C2/m (No. 12)
Unique sites:
1 Tb 0.000 0.000 0.000
2 Ce 0.000 0.333 0.000
3 Th 0.000 0.168 0.500
4 Th 0.000 0.500 0.500
5 S 0.245 0.164 0.242
6 S 0.247 0.000 0.755

6.
TbGdZnPd | PBE-GGA | relaxed

* formation enthalpy at 0 K: -0.582 eV per atom

Lattice parameters (Å, degrees): 7.129 7.129 7.129 90.00 90.00 90.00
Space group F-43m (No. 216)
Unique sites:
1 Tb 0.000 0.000 0.000
2 Gd 0.000 0.000 0.500
3 Zn 0.250 0.250 0.250
4 Pd 0.250 0.250 0.750

7.
Cr2HgW | PBE-GGA | relaxed

* formation enthalpy at 0 K: 0.780 eV per atom

Lattice parameters (Å, degrees): 6.303 6.303 6.303 90.00 90.00 90.00
Space group F-43m (No. 216)
Unique sites:
1 Cr 0.000 0.000 0.000
2 Cr 0.250 0.250 0.250
3 Hg 0.000 0.000 0.500
4 W 0.250 0.250 0.750

8.
Tb2Sn3Pd4 | PBE-GGA | relaxed

* formation enthalpy at 0 K: -0.766 eV per atom

Lattice parameters (Å, degrees): 6.106 16.432 7.508 90.00 90.00 90.00
Space group Cmce (No. 64)
Unique sites:
1 Tb 0.000 0.103 0.092
2 Sn 0.000 0.000 0.500
3 Sn 0.250 0.238 0.750
4 Pd 0.000 0.167 0.480
5 Pd 0.250 0.068 0.750

9.
Ti6Fe2Au | PBE-GGA | relaxed

* formation enthalpy at 0 K: -0.201 eV per atom

Lattice parameters (Å, degrees): 7.857 8.107 9.017 90.00 90.00 90.00
Space group Immm (No. 71)
Unique sites:
1 Ti 0.000 0.211 0.235
2 Ti 0.199 0.500 0.171
3 Ti 0.200 0.309 0.500
4 Fe 0.000 0.335 0.000
5 Fe 0.000 0.500 0.363
6 Au 0.000 0.000 0.000
7 Au 0.000 0.000 0.500

10.
K2CoP | PBE-GGA | relaxed

* formation enthalpy at 0 K: 0.891 eV per atom

Lattice parameters (Å, degrees): 3.1568 3.1568 32.4548 90.00 90.00 120.00
Space group R-3m (No. 166, hexagonal axes)
Unique sites:
1 K 0.0000 0.0000 0.2455
2 Co 0.0000 0.0000 0.0000
3 P 0.0000 0.0000 0.5000

11.
La2Sm4Ho3 | PBE-GGA | relaxed

* energy above the lowest structure with this stoichiometry: 0 meV per atom
* formation enthalpy at 0 K: 0.054 eV per atom

Lattice parameters (Å, degrees): 3.6307 3.6307 26.9240 90.00 90.00 120.00
Space group P3m1 (No. 156)
Unique sites:
1 La 0.0000 0.0000 0.0000
2 La 0.0000 0.0000 0.2179
3 Sm 0.0000 0.0000 0.3517
4 Sm 0.0000 0.0000 0.5629
5 Sm 0.3333 0.6667 0.6726
6 Sm 0.3333 0.6667 0.8849
7 Ho 0.0000 0.0000 0.7794
8 Ho 0.3333 0.6667 0.1106
9 Ho 0.3333 0.6667 0.4554

12.
RbHf2Sb2 | PBE-GGA | relaxed

* ΔE_f (raw): -29.8 kJ per mole of atoms
* energy above the lowest structure with this stoichiometry: 0 meV per atom

Lattice parameters (Å, degrees): 4.643 4.643 15.347 90.00 90.00 90.00
Space group I4/mmm (No. 139)
Unique sites:
1 Rb 0.000 0.000 0.000
2 Hf 0.000 0.500 0.250
3 Sb 0.000 0.000 0.361

13.
Sm5NpCo4 | PBE-GGA | relaxed

* formation enthalpy at 0 K: -0.075 eV per atom

Lattice parameters (Å, degrees): 17.745 4.074 7.135 90.00 113.41 90.00
Space group C2/m (No. 12)
Unique sites:
1 Sm 0.000 0.000 0.000
2 Sm 0.158 0.500 0.542
3 Sm 0.180 0.500 0.065
4 Np 0.000 0.000 0.500
5 Co 0.020 0.500 0.708
6 Co 0.132 0.000 0.786

14.
AlFeBr2 | PBE-GGA | relaxed

* ΔE_f (raw): 2.2 kJ per mole of atoms
* energy above the lowest structure with this stoichiometry: 298 meV per atom

Lattice parameters (Å, degrees): 3.229 3.229 8.771 90.00 90.00 90.00
Space group P4mm (No. 99)
Unique sites:
1 Al 0.000 0.000 0.000
2 Fe 0.500 0.500 0.798
3 Br 0.000 0.000 0.630
4 Br 0.500 0.500 0.197

15.
Ta2Ti3H8 | PBE-GGA | relaxed

* total DFT energy (no corrections): -5.92 eV per atom

Lattice parameters (Å, degrees): 8.292 5.663 4.743 90.00 93.02 90.00
Space group C2/m (No. 12)
Unique sites:
1 Ta 0.171 0.000 0.007
2 Ti 0.000 0.240 0.500
3 Ti 0.000 0.500 0.000
4 H 0.126 0.500 0.682
5 H 0.150 0.000 0.595
6 H 0.159 0.303 0.199

16.
Tm3UN4 | PBE-GGA | relaxed

* ΔE_f (raw): -163.3 kJ per mole of atoms

Lattice parameters (Å, degrees): 6.849 9.600 3.407 90.00 90.00 90.00
Space group Cmmm (No. 65)
Unique sites:
1 Tm 0.000 0.000 0.000
2 Tm 0.250 0.250 0.500
3 U 0.000 0.500 0.000
4 N 0.000 0.259 0.000
5 N 0.246 0.500 0.500

17.
Ti2CdCuI | PBE-GGA | relaxed

* ΔE_f (raw): 79.8 kJ per mole of atoms

Lattice parameters (Å, degrees): 4.764 4.764 5.285 90.00 90.00 90.00
Space group P4/mmm (No. 123)
Unique sites:
1 Ti 0.000 0.500 0.000
2 Cd 0.000 0.000 0.500
3 Cu 0.500 0.500 0.000
4 I 0.500 0.500 0.500

18.
Fe2PbW | PBE-GGA | relaxed

* formation enthalpy at 0 K: 0.649 eV per atom

Lattice parameters (Å, degrees): 3.125 4.456 8.948 90.00 90.00 90.00
Space group Imm2 (No. 44)
Unique sites:
1 Fe 0.000 0.000 0.000
2 Fe 0.000 0.500 0.284
3 Pb 0.000 0.500 0.757
4 W 0.000 0.000 0.533

19.
CaPr2Ag2 | PBE-GGA | relaxed

* energy above the lowest structure with this stoichiometry: 0 meV per atom
* formation enthalpy at 0 K: -0.203 eV per atom

Lattice parameters (Å, degrees): 8.564 8.564 4.025 90.00 90.00 90.00
Space group P4/mbm (No. 127)
Unique sites:
1 Ca 0.000 0.000 0.000
2 Pr 0.163 0.337 0.500
3 Ag 0.127 0.627 0.000

20.
RbMg2SbF8 | PBE-GGA | relaxed

* ΔE_f (raw): -283.7 kJ per mole of atoms

Lattice parameters (Å, degrees): 5.314 5.368 7.616 79.49 79.86 78.26
Space group P-1 (No. 2)
Unique sites:
1 Rb 0.000 0.000 0.000
2 Mg 0.460 0.458 0.211
3 Sb 0.000 0.000 0.500
4 F 0.213 0.742 0.715
5 F 0.242 0.770 0.292
6 F 0.279 0.257 0.421
7 F 0.358 0.338 0.008